Below is a relaxed structure of CsNaAsF6, with properties calculated at the PBE level.

```
CsNaAsF6
1.0
5.834 0.000 0.000
-2.917 5.052 0.000
0.000 0.000 6.273
Cs Na As F
1 1 1 6
direct
0.000 0.000 0.000
0.333 0.667 0.500
0.667 0.333 0.500
0.407 0.053 0.676
0.407 0.354 0.324
0.646 0.053 0.324
0.646 0.593 0.676
0.947 0.354 0.676
0.947 0.593 0.324
```

uncorrected energy	-4.4314	eV/atom
Fermi-level density of states	2.431	states/eV/f.u.
space-group type	P312 (149)